# 1
# Y6Si2PbSe3 (GGA-PBE, optimized geometry)
# **Uncorrected formation energy**: -1.254 eV per atom
# **Crystal system**: monoclinic
# **E**: -157.69 eV per cell
# **N(E_F)**: 2.927 states/eV/f.u.
# **Total magnetic moment**: 0.00 Bohr magnetons per cell
data_Y6Si2PbSe3
_chemical_formula_sum 'Y12 Si4 Pb2 Se6'
_symmetry_space_group_name_H-M 'C 1 2/m 1'
_symmetry_Int_Tables_number 12
_symmetry_space_group_name_Hall '-C 2y'
_cell_length_a 18.273
_cell_length_b 4.138
_cell_length_c 8.457
_cell_angle_alpha 90.00
_cell_angle_beta 103.59
_cell_angle_gamma 90.00
loop_
_atom_site_label
_atom_site_type_symbol
_atom_site_fract_x
_atom_site_fract_y
_atom_site_fract_z
Y1 Y 0.005 0.000 0.264
Y2 Y 0.172 0.500 0.100
Y3 Y 0.172 0.500 0.575
Si1 Si 0.167 0.000 0.335
Pb1 Pb 0.000 0.500 0.000
Se1 Se 0.000 0.500 0.500
Se2 Se 0.165 0.000 0.832

# 2
# Sm4Pb2Se (GGA-PBE, optimized geometry)
# **Uncorrected formation energy**: -0.706 eV per atom
# **Crystal system**: monoclinic
# **E**: -69.44 eV per cell
# **N(E_F)**: 5.867 states/eV/f.u.
# **Total magnetic moment**: 0.00 Bohr magnetons per cell
data_Sm4Pb2Se
_chemical_formula_sum 'Sm8 Pb4 Se2'
_symmetry_space_group_name_H-M 'P 1 21/m 1'
_symmetry_Int_Tables_number 11
_symmetry_space_group_name_Hall '-P 2yb'
_cell_length_a 6.917
_cell_length_b 6.784
_cell_length_c 9.875
_cell_angle_alpha 90.00
_cell_angle_beta 110.05
_cell_angle_gamma 90.00
loop_
_atom_site_label
_atom_site_type_symbol
_atom_site_fract_x
_atom_site_fract_y
_atom_site_fract_z
Sm1 Sm 0.008 0.003 0.254
Sm2 Sm 0.423 0.250 0.573
Sm3 Sm 0.433 0.250 0.139
Pb1 Pb 0.181 0.750 0.043
Pb2 Pb 0.202 0.750 0.550
Se1 Se 0.348 0.250 0.838

# 3
# Sm8PbSe6 (GGA-PBE, optimized geometry)
# **Uncorrected formation energy**: -1.382 eV per atom
# **Crystal system**: trigonal
# **E**: -83.10 eV per cell
# **N(E_F)**: 11.528 states/eV/f.u.
# **Total magnetic moment**: 0.00 Bohr magnetons per cell
data_Sm8PbSe6
_chemical_formula_sum 'Sm8 Pb1 Se6'
_symmetry_space_group_name_H-M 'P -3'
_symmetry_Int_Tables_number 147
_symmetry_space_group_name_Hall '-P 3'
_cell_length_a 10.8037
_cell_length_b 10.8037
_cell_length_c 4.1761
_cell_angle_alpha 90.00
_cell_angle_beta 90.00
_cell_angle_gamma 120.00
loop_
_atom_site_label
_atom_site_type_symbol
_atom_site_fract_x
_atom_site_fract_y
_atom_site_fract_z
Sm1 Sm 0.0356 0.3287 0.2472
Sm2 Sm 0.3333 0.6667 0.7516
Pb1 Pb 0.0000 0.0000 0.0000
Se1 Se 0.1330 0.6498 0.2501

# 4
# Sm3Pb2Se (GGA-PBE, optimized geometry)
# **Uncorrected formation energy**: -0.931 eV per atom
# **Crystal system**: orthorhombic
# **E**: -61.29 eV per cell
# **N(E_F)**: 3.523 states/eV/f.u.
# **Total magnetic moment**: 0.00 Bohr magnetons per cell
data_Sm3Pb2Se
_chemical_formula_sum 'Sm6 Pb4 Se2'
_symmetry_space_group_name_H-M 'I m m m'
_symmetry_Int_Tables_number 71
_symmetry_space_group_name_Hall '-I 2 2'
_cell_length_a 4.269
_cell_length_b 6.279
_cell_length_c 13.646
_cell_angle_alpha 90.00
_cell_angle_beta 90.00
_cell_angle_gamma 90.00
loop_
_atom_site_label
_atom_site_type_symbol
_atom_site_fract_x
_atom_site_fract_y
_atom_site_fract_z
Sm1 Sm 0.000 0.000 0.000
Sm2 Sm 0.000 0.000 0.346
Pb1 Pb 0.000 0.500 0.330
Se1 Se 0.000 0.500 0.000

# 5
# Sm6PbSe5 (GGA-PBE, optimized geometry)
# **Uncorrected formation energy**: -1.607 eV per atom
# **Crystal system**: monoclinic
# **E**: -137.47 eV per cell
# **N(E_F)**: 5.246 states/eV/f.u.
# **Total magnetic moment**: 0.00 Bohr magnetons per cell
data_Sm6PbSe5
_chemical_formula_sum 'Sm12 Pb2 Se10'
_symmetry_space_group_name_H-M 'C 1 2/m 1'
_symmetry_Int_Tables_number 12
_symmetry_space_group_name_Hall '-C 2y'
_cell_length_a 7.331
_cell_length_b 12.696
_cell_length_c 7.368
_cell_angle_alpha 90.00
_cell_angle_beta 109.40
_cell_angle_gamma 90.00
loop_
_atom_site_label
_atom_site_type_symbol
_atom_site_fract_x
_atom_site_fract_y
_atom_site_fract_z
Sm1 Sm 0.242 0.000 0.254
Sm2 Sm 0.243 0.171 0.742
Pb1 Pb 0.000 0.500 0.000
Se1 Se 0.000 0.000 0.500
Se2 Se 0.000 0.168 0.000
Se3 Se 0.000 0.338 0.500

# 6
# Sm4PbSe2 (GGA-PBE, optimized geometry)
# **Uncorrected formation energy**: -1.221 eV per atom
# **Crystal system**: orthorhombic
# **E**: -152.39 eV per cell
# **N(E_F)**: 5.560 states/eV/f.u.
# **Total magnetic moment**: 0.00 Bohr magnetons per cell
data_Sm4PbSe2
_chemical_formula_sum 'Sm16 Pb4 Se8'
_symmetry_space_group_name_H-M 'C m c m'
_symmetry_Int_Tables_number 63
_symmetry_space_group_name_Hall '-C 2c 2'
_cell_length_a 4.310
_cell_length_b 13.496
_cell_length_c 14.090
_cell_angle_alpha 90.00
_cell_angle_beta 90.00
_cell_angle_gamma 90.00
loop_
_atom_site_label
_atom_site_type_symbol
_atom_site_fract_x
_atom_site_fract_y
_atom_site_fract_z
Sm1 Sm 0.000 0.000 0.000
Sm2 Sm 0.000 0.269 0.121
Sm3 Sm 0.000 0.439 0.750
Pb1 Pb 0.000 0.109 0.750
Se1 Se 0.000 0.365 0.560

# 7
# Sm4PbSe3 (GGA-PBE, optimized geometry)
# **Uncorrected formation energy**: -1.497 eV per atom
# **Crystal system**: orthorhombic
# **E**: -45.01 eV per cell
# **N(E_F)**: 3.260 states/eV/f.u.
# **Total magnetic moment**: 0.00 Bohr magnetons per cell
data_Sm4PbSe3
_chemical_formula_sum 'Sm4 Pb1 Se3'
_symmetry_space_group_name_H-M 'P m m m'
_symmetry_Int_Tables_number 47
_symmetry_space_group_name_Hall '-P 2 2'
_cell_length_a 4.260
_cell_length_b 6.046
_cell_length_c 8.578
_cell_angle_alpha 90.00
_cell_angle_beta 90.00
_cell_angle_gamma 90.00
loop_
_atom_site_label
_atom_site_type_symbol
_atom_site_fract_x
_atom_site_fract_y
_atom_site_fract_z
Sm1 Sm 0.000 0.000 0.000
Sm2 Sm 0.000 0.000 0.500
Sm3 Sm 0.500 0.500 0.239
Pb1 Pb 0.000 0.500 0.500
Se1 Se 0.000 0.500 0.000
Se2 Se 0.500 0.000 0.246

# 8
# SmPb2Se4 (GGA-PBE, optimized geometry)
# **Uncorrected formation energy**: -0.885 eV per atom
# **Crystal system**: orthorhombic
# **E**: -129.09 eV per cell
# **N(E_F)**: 3.766 states/eV/f.u.
# **Total magnetic moment**: 0.00 Bohr magnetons per cell
data_SmPb2Se4
_chemical_formula_sum 'Sm4 Pb8 Se16'
_symmetry_space_group_name_H-M 'C m c m'
_symmetry_Int_Tables_number 63
_symmetry_space_group_name_Hall '-C 2c 2'
_cell_length_a 4.174
_cell_length_b 14.230
_cell_length_c 13.781
_cell_angle_alpha 90.00
_cell_angle_beta 90.00
_cell_angle_gamma 90.00
loop_
_atom_site_label
_atom_site_type_symbol
_atom_site_fract_x
_atom_site_fract_y
_atom_site_fract_z
Sm1 Sm 0.000 0.103 0.250
Pb1 Pb 0.000 0.365 0.063
Se1 Se 0.000 0.000 0.000
Se2 Se 0.000 0.287 0.638
Se3 Se 0.000 0.459 0.250

# 9
# Sm3Pb4Se8 (GGA-PBE, optimized geometry)
# **Uncorrected formation energy**: -1.104 eV per atom
# **Crystal system**: monoclinic
# **E**: -146.85 eV per cell
# **N(E_F)**: 3.191 states/eV/f.u.
# **Total magnetic moment**: 0.00 Bohr magnetons per cell
data_Sm3Pb4Se8
_chemical_formula_sum 'Sm6 Pb8 Se16'
_symmetry_space_group_name_H-M 'C 1 2/m 1'
_symmetry_Int_Tables_number 12
_symmetry_space_group_name_Hall '-C 2y'
_cell_length_a 12.073
_cell_length_b 12.093
_cell_length_c 8.550
_cell_angle_alpha 90.00
_cell_angle_beta 134.74
_cell_angle_gamma 90.00
loop_
_atom_site_label
_atom_site_type_symbol
_atom_site_fract_x
_atom_site_fract_y
_atom_site_fract_z
Sm1 Sm 0.000 0.000 0.000
Sm2 Sm 0.250 0.250 0.500
Pb1 Pb 0.000 0.500 0.000
Pb2 Pb 0.000 0.500 0.500
Pb3 Pb 0.250 0.250 0.000
Se1 Se 0.000 0.245 0.000
Se2 Se 0.000 0.245 0.500
Se3 Se 0.239 0.000 0.994
Se4 Se 0.241 0.000 0.490

# 10
# Sm7PbSe5 (GGA-PBE, optimized geometry)
# **Uncorrected formation energy**: -1.503 eV per atom
# **Crystal system**: orthorhombic
# **E**: -294.84 eV per cell
# **N(E_F)**: 8.356 states/eV/f.u.
# **Total magnetic moment**: 0.00 Bohr magnetons per cell
data_Sm7PbSe5
_chemical_formula_sum 'Sm28 Pb4 Se20'
_symmetry_space_group_name_H-M 'C m c m'
_symmetry_Int_Tables_number 63
_symmetry_space_group_name_Hall '-C 2c 2'
_cell_length_a 4.239
_cell_length_b 13.615
_cell_length_c 24.802
_cell_angle_alpha 90.00
_cell_angle_beta 90.00
_cell_angle_gamma 90.00
loop_
_atom_site_label
_atom_site_type_symbol
_atom_site_fract_x
_atom_site_fract_y
_atom_site_fract_z
Sm1 Sm 0.000 0.025 0.250
Sm2 Sm 0.000 0.137 0.537
Sm3 Sm 0.000 0.319 0.176
Sm4 Sm 0.000 0.406 0.613
Pb1 Pb 0.000 0.303 0.750
Se1 Se 0.000 0.046 0.641
Se2 Se 0.000 0.226 0.071
Se3 Se 0.000 0.500 0.000

> What is the total magnetic moment in the sixth record?

0.00 Bohr magnetons per cell